Record 1
Material: TmBiIrO6
Method: DFT, PBE-GGA
State: optimized geometry

abc: 5.4941 5.4941 9.6093
angles: 90.00 90.00 120.00
Space group P-31c (No. 163)
Symmetry-distinct sites (fractional):
Tm 0.3333 0.6667 0.2500 x2
Bi 0.0000 0.0000 0.0000 x2
Ir 0.3333 0.6667 0.7500 x2
O 0.0339 0.3742 0.6348 x12

Values from the calculation:
* total magnetic moment: 2.6 μB/cell
* uncorrected energy: -6.81 eV per atom


Record 2
Material: Sm3Ho4Pd4
Method: DFT, PBE-GGA
State: optimized geometry

abc: 4.7321 7.6102 15.5020
angles: 90.00 90.00 90.00
Space group Immm (No. 71)
Symmetry-distinct sites (fractional):
Sm 0.0000 0.0000 0.0000 x2
Sm 0.0000 0.5000 0.1028 x4
Ho 0.0000 0.2843 0.3278 x8
Pd 0.0000 0.0000 0.2048 x4
Pd 0.0000 0.1850 0.5000 x4

Values from the calculation:
* total magnetic moment: 0.0 μB/cell
* formation energy: -0.58 eV/atom
* uncorrected energy: -5.42 eV per atom


Record 3
Material: BaInOs
Method: DFT, PBE-GGA
State: optimized geometry

abc: 3.6246 3.6246 12.0704
angles: 90.00 90.00 90.00
Space group I4mm (No. 107)
Symmetry-distinct sites (fractional):
Ba 0.0000 0.0000 0.0000 x2
In 0.0000 0.0000 0.7241 x2
Os 0.0000 0.0000 0.3059 x2

Values from the calculation:
* total magnetic moment: 0.0 μB/cell
* formation energy: 0.49 eV/atom
* uncorrected energy: -4.81 eV per atom


- total magnetic moment of number 2 (Sm3Ho4Pd4)?
  0.0 μB/cell


- The highest uncorrected energy belongs to which entry?
  BaInOs


Copy entry 3 word for word.
Material: BaInOs
Method: DFT, PBE-GGA
State: optimized geometry

abc: 3.6246 3.6246 12.0704
angles: 90.00 90.00 90.00
Space group I4mm (No. 107)
Symmetry-distinct sites (fractional):
Ba 0.0000 0.0000 0.0000 x2
In 0.0000 0.0000 0.7241 x2
Os 0.0000 0.0000 0.3059 x2

Values from the calculation:
* total magnetic moment: 0.0 μB/cell
* formation energy: 0.49 eV/atom
* uncorrected energy: -4.81 eV per atom


- What is the formula in the first record?
  TmBiIrO6